Record 1
Entry from the Alexandria database: a relaxed structure of TiAlRe3 (PBE).

Calculated values
crystal system: cubic
M_tot: 1.39 μB per cell
relative energy among the computed polymorphs: 0.000 kcal/mol of atoms
energy relative to the elements: 138 kJ per mole of atoms

Lattice parameters (Å, degrees): 4.4410 4.4410 4.4410 90.00 90.00 90.00
Atoms (fractional coordinates):
Ti1 0.0000 0.0000 0.0000
Al1 0.5000 0.5000 0.5000
Re1 0.0000 0.5000 0.5000
Re2 0.5000 0.0000 0.5000
Re3 0.5000 0.5000 0.0000



Record 2
Entry from the Alexandria database: a relaxed structure of Ti2AlRe2 (PBE).

Calculated values
crystal system: orthorhombic
M_tot: 0.00 μB per cell
energy relative to the elements: -9 kJ per mole of atoms

Lattice parameters (Å, degrees): 7.2235 7.2235 2.5948 90.00 90.00 144.25
Atoms (fractional coordinates):
Ti1 0.1082 0.8918 0.0000
Ti2 0.8918 0.1082 0.0000
Al1 0.5000 0.5000 0.5000
Re1 0.3018 0.6982 0.5000
Re2 0.6982 0.3018 0.5000



Record 3
Entry from the Alexandria database: a relaxed structure of TiAl2Re2 (PBE).

Calculated values
crystal system: tetragonal
M_tot: 0.00 μB per cell
relative energy among the computed polymorphs: 0.000 kcal/mol of atoms
energy relative to the elements: -11 kJ per mole of atoms

Lattice parameters (Å, degrees): 6.8890 6.8890 3.1686 90.00 90.00 90.00
Atoms (fractional coordinates):
Ti1 0.0000 0.0000 0.0000
Ti2 0.5000 0.5000 0.0000
Al1 0.1311 0.3689 0.0000
Al2 0.3689 0.8689 0.0000
Al3 0.6311 0.1311 0.0000
Al4 0.8689 0.6311 0.0000
Re1 0.1655 0.6655 0.5000
Re2 0.3345 0.1655 0.5000
Re3 0.6655 0.8345 0.5000
Re4 0.8345 0.3345 0.5000



Record 4
Entry from the Alexandria database: a relaxed structure of Ti6AlRe (PBE).

Calculated values
crystal system: monoclinic
M_tot: 0.00 μB per cell
relative energy among the computed polymorphs: 0.000 kcal/mol of atoms
energy relative to the elements: -19 kJ per mole of atoms

Lattice parameters (Å, degrees): 5.3052 5.3052 5.3370 94.82 94.82 116.92
Atoms (fractional coordinates):
Ti1 0.0933 0.6405 0.7516
Ti2 0.2414 0.2414 0.9454
Ti3 0.3595 0.9067 0.2484
Ti4 0.6405 0.0933 0.7516
Ti5 0.7586 0.7586 0.0546
Ti6 0.9067 0.3595 0.2484
Al1 0.5000 0.5000 0.5000
Re1 0.0000 0.0000 0.5000



Record 5
Entry from the Alexandria database: a relaxed structure of TiAl2Re (PBE).

Calculated values
crystal system: tetragonal
M_tot: 0.00 μB per cell
relative energy among the computed polymorphs: 2.667 kcal/mol of atoms
energy relative to the elements: -19 kJ per mole of atoms

Lattice parameters (Å, degrees): 3.2795 3.2795 5.6518 90.00 90.00 90.00
Atoms (fractional coordinates):
Ti1 0.0000 0.0000 0.0000
Al1 0.5000 0.5000 0.2661
Al2 0.5000 0.5000 0.7339
Re1 0.0000 0.0000 0.5000



Record 6
Entry from the Alexandria database: a relaxed structure of AlTlRe2 (PBE).

Calculated values
crystal system: orthorhombic
M_tot: 0.00 μB per cell
relative energy among the computed polymorphs: 8.701 kcal/mol of atoms
energy relative to the elements: 56 kJ per mole of atoms

Lattice parameters (Å, degrees): 2.8931 3.9512 6.2637 90.00 90.00 90.00
Atoms (fractional coordinates):
Al1 0.0000 0.0000 0.0000
Tl1 0.0000 0.0000 0.5000
Re1 0.5000 0.5000 0.1867
Re2 0.5000 0.5000 0.8133



Record 7
Entry from the Alexandria database: a relaxed structure of AlTlRe2 (PBE).

Calculated values
crystal system: orthorhombic
M_tot: 0.00 μB per cell
relative energy among the computed polymorphs: 10.060 kcal/mol of atoms
energy relative to the elements: 62 kJ per mole of atoms

Lattice parameters (Å, degrees): 5.4828 5.4828 5.4828 147.21 130.64 60.53
Atoms (fractional coordinates):
Al1 0.0000 0.0000 0.0000
Tl1 0.7277 0.2277 0.5000
Re1 0.2270 0.7270 0.5000
Re2 0.4581 0.4581 0.0000



Record 8
Entry from the Alexandria database: a relaxed structure of Al2TlRe (PBE).

Calculated values
crystal system: tetragonal
M_tot: 0.00 μB per cell
relative energy among the computed polymorphs: 7.663 kcal/mol of atoms
energy relative to the elements: 44 kJ per mole of atoms

Lattice parameters (Å, degrees): 2.9423 2.9423 8.5529 90.00 90.00 90.00
Atoms (fractional coordinates):
Al1 0.0000 0.0000 0.0000
Al2 0.5000 0.5000 0.2321
Tl1 0.5000 0.5000 0.6886
Re1 0.0000 0.0000 0.4228



Record 9
Entry from the Alexandria database: a relaxed structure of AlTlRe2 (PBE).

Calculated values
crystal system: monoclinic
M_tot: 0.00 μB per cell
relative energy among the computed polymorphs: 12.259 kcal/mol of atoms
energy relative to the elements: 71 kJ per mole of atoms

Lattice parameters (Å, degrees): 5.4101 5.4101 2.8682 103.71 103.71 116.21
Atoms (fractional coordinates):
Al1 0.0000 0.0000 0.0000
Tl1 0.5000 0.5000 0.0000
Re1 0.0000 0.5000 0.5000
Re2 0.5000 0.0000 0.5000



Record 10
Entry from the Alexandria database: a relaxed structure of AlTl2Re (PBE).

Calculated values
crystal system: orthorhombic
M_tot: 0.00 μB per cell
relative energy among the computed polymorphs: 3.107 kcal/mol of atoms
energy relative to the elements: 56 kJ per mole of atoms

Lattice parameters (Å, degrees): 7.1290 7.1290 7.1290 156.71 139.93 46.86
Atoms (fractional coordinates):
Al1 0.0000 0.0000 0.0000
Tl1 0.3788 0.3788 0.0000
Tl2 0.6792 0.1792 0.5000
Re1 0.1670 0.6670 0.5000



Record 11
Entry from the Alexandria database: a relaxed structure of AlTlRe2 (PBE).

Calculated values
crystal system: monoclinic
M_tot: 0.00 μB per cell
relative energy among the computed polymorphs: 0.000 kcal/mol of atoms
energy relative to the elements: 20 kJ per mole of atoms

Lattice parameters (Å, degrees): 3.0199 2.9752 8.2633 90.00 100.51 90.00
Atoms (fractional coordinates):
Al1 0.0000 0.0000 0.0000
Tl1 0.8321 0.5000 0.6720
Re1 0.1948 0.0000 0.3903
Re2 0.6035 0.5000 0.2072



Record 12
Entry from the Alexandria database: a relaxed structure of Al2TlRe (PBE).

Calculated values
crystal system: tetragonal
M_tot: 0.00 μB per cell
relative energy among the computed polymorphs: 8.285 kcal/mol of atoms
energy relative to the elements: 46 kJ per mole of atoms

Lattice parameters (Å, degrees): 4.4451 4.4451 3.4018 90.00 90.00 90.00
Atoms (fractional coordinates):
Al1 0.0000 0.5000 0.0000
Al2 0.5000 0.0000 0.0000
Tl1 0.0000 0.0000 0.5000
Re1 0.5000 0.5000 0.5000



Record 13
Entry from the Alexandria database: a relaxed structure of AlTlRe2 (PBE).

Calculated values
crystal system: monoclinic
M_tot: 0.00 μB per cell
relative energy among the computed polymorphs: 8.165 kcal/mol of atoms
energy relative to the elements: 54 kJ per mole of atoms

Lattice parameters (Å, degrees): 4.7383 4.7383 5.2356 100.77 100.77 36.44
Atoms (fractional coordinates):
Al1 0.0000 0.0000 0.0000
Tl1 0.5000 0.5000 0.5000
Re1 0.2593 0.2593 0.7964
Re2 0.7407 0.7407 0.2036



Record 14
Entry from the Alexandria database: a relaxed structure of AlTlRe2 (PBE).

Calculated values
crystal system: tetragonal
M_tot: 0.00 μB per cell
relative energy among the computed polymorphs: 1.502 kcal/mol of atoms
energy relative to the elements: 26 kJ per mole of atoms

Lattice parameters (Å, degrees): 3.0065 3.0065 8.0283 90.00 90.00 90.00
Atoms (fractional coordinates):
Al1 0.0000 0.0000 0.0000
Tl1 0.5000 0.5000 0.6767
Re1 0.0000 0.0000 0.3909
Re2 0.5000 0.5000 0.2052



Record 15
Entry from the Alexandria database: a relaxed structure of AlTl2Re (PBE).

Calculated values
crystal system: tetragonal
M_tot: 1.01 μB per cell
relative energy among the computed polymorphs: 10.709 kcal/mol of atoms
energy relative to the elements: 88 kJ per mole of atoms

Lattice parameters (Å, degrees): 3.0502 3.0502 9.1463 90.00 90.00 90.00
Atoms (fractional coordinates):
Al1 0.0000 0.0000 0.0000
Tl1 0.5000 0.5000 0.2700
Tl2 0.5000 0.5000 0.7300
Re1 0.0000 0.0000 0.5000



Record 16
Entry from the Alexandria database: a relaxed structure of AlTl2Re (PBE).

Calculated values
crystal system: orthorhombic
M_tot: 0.48 μB per cell
relative energy among the computed polymorphs: 9.857 kcal/mol of atoms
energy relative to the elements: 85 kJ per mole of atoms

Lattice parameters (Å, degrees): 3.0709 5.0848 5.1880 90.00 90.00 90.00
Atoms (fractional coordinates):
Al1 0.0000 0.0000 0.0000
Tl1 0.0000 0.5000 0.5000
Tl2 0.5000 0.5000 0.0000
Re1 0.5000 0.0000 0.5000



Record 17
Entry from the Alexandria database: a relaxed structure of Al2TlRe (PBE).

Calculated values
crystal system: orthorhombic
M_tot: 0.00 μB per cell
relative energy among the computed polymorphs: 7.985 kcal/mol of atoms
energy relative to the elements: 45 kJ per mole of atoms

Lattice parameters (Å, degrees): 4.9492 4.9492 2.8610 90.00 90.00 98.12
Atoms (fractional coordinates):
Al1 0.0000 0.5000 0.0000
Al2 0.5000 0.0000 0.0000
Tl1 0.0000 0.0000 0.5000
Re1 0.5000 0.5000 0.5000



Record 18
Entry from the Alexandria database: a relaxed structure of AlTlRe2 (PBE).

Calculated values
crystal system: tetragonal
M_tot: 0.00 μB per cell
relative energy among the computed polymorphs: 12.681 kcal/mol of atoms
energy relative to the elements: 73 kJ per mole of atoms

Lattice parameters (Å, degrees): 2.8102 2.8102 8.5338 90.00 90.00 90.00
Atoms (fractional coordinates):
Al1 0.0000 0.0000 0.0000
Tl1 0.0000 0.0000 0.5000
Re1 0.5000 0.5000 0.2204
Re2 0.5000 0.5000 0.7796



Record 19
Entry from the Alexandria database: a relaxed structure of AlTlRe2 (PBE).

Calculated values
crystal system: orthorhombic
M_tot: 0.00 μB per cell
relative energy among the computed polymorphs: 12.230 kcal/mol of atoms
energy relative to the elements: 71 kJ per mole of atoms

Lattice parameters (Å, degrees): 3.0159 4.6065 4.8382 90.00 90.00 90.00
Atoms (fractional coordinates):
Al1 0.0000 0.0000 0.0000
Tl1 0.5000 0.0000 0.5000
Re1 0.0000 0.5000 0.5000
Re2 0.5000 0.5000 0.0000



Record 20
Entry from the Alexandria database: a relaxed structure of AlTl2Re (PBE).

Calculated values
crystal system: orthorhombic
M_tot: 0.00 μB per cell
relative energy among the computed polymorphs: 11.224 kcal/mol of atoms
energy relative to the elements: 90 kJ per mole of atoms

Lattice parameters (Å, degrees): 4.9798 4.9798 3.4224 90.00 90.00 109.75
Atoms (fractional coordinates):
Al1 0.0000 0.0000 0.0000
Tl1 0.0000 0.5000 0.5000
Tl2 0.5000 0.0000 0.5000
Re1 0.5000 0.5000 0.0000



Record 21
Entry from the Alexandria database: a relaxed structure of AlTlRe3 (PBE).

Calculated values
crystal system: cubic
M_tot: 0.00 μB per cell
relative energy among the computed polymorphs: 0.000 kcal/mol of atoms
energy relative to the elements: 176 kJ per mole of atoms

Lattice parameters (Å, degrees): 4.5282 4.5282 4.5282 90.00 90.00 90.00
Atoms (fractional coordinates):
Al1 0.0000 0.0000 0.0000
Tl1 0.5000 0.5000 0.5000
Re1 0.0000 0.0000 0.5000
Re2 0.0000 0.5000 0.0000
Re3 0.5000 0.0000 0.0000



Record 22
Entry from the Alexandria database: a relaxed structure of Al2TlRe (PBE).

Calculated values
crystal system: cubic
M_tot: 0.00 μB per cell
relative energy among the computed polymorphs: 11.952 kcal/mol of atoms
energy relative to the elements: 61 kJ per mole of atoms

Lattice parameters (Å, degrees): 4.6010 4.6010 4.6010 60.00 60.00 60.00
Atoms (fractional coordinates):
Al1 0.2500 0.2500 0.2500
Al2 0.7500 0.7500 0.7500
Tl1 0.0000 0.0000 0.0000
Re1 0.5000 0.5000 0.5000



Record 23
Entry from the Alexandria database: a relaxed structure of Al2TlRe (PBE).

Calculated values
crystal system: tetragonal
M_tot: 0.00 μB per cell
relative energy among the computed polymorphs: 6.391 kcal/mol of atoms
energy relative to the elements: 38 kJ per mole of atoms

Lattice parameters (Å, degrees): 4.9583 4.9583 4.9583 131.13 131.13 71.60
Atoms (fractional coordinates):
Al1 0.2500 0.7500 0.5000
Al2 0.7500 0.2500 0.5000
Tl1 0.0000 0.0000 0.0000
Re1 0.5000 0.5000 0.0000



Record 24
Entry from the Alexandria database: a relaxed structure of AlTlRe2 (PBE).

Calculated values
crystal system: tetragonal
M_tot: 0.00 μB per cell
relative energy among the computed polymorphs: 11.060 kcal/mol of atoms
energy relative to the elements: 66 kJ per mole of atoms

Lattice parameters (Å, degrees): 4.8324 4.8324 4.8324 129.18 129.18 74.71
Atoms (fractional coordinates):
Al1 0.0000 0.0000 0.0000
Tl1 0.7500 0.2500 0.5000
Re1 0.2500 0.7500 0.5000
Re2 0.5000 0.5000 0.0000



Record 25
Entry from the Alexandria database: a relaxed structure of Al2TlRe (PBE).

Calculated values
crystal system: cubic
M_tot: 0.00 μB per cell
relative energy among the computed polymorphs: 14.382 kcal/mol of atoms
energy relative to the elements: 72 kJ per mole of atoms

Lattice parameters (Å, degrees): 4.6320 4.6320 4.6320 60.00 60.00 60.00
Atoms (fractional coordinates):
Al1 0.0000 0.0000 0.0000
Al2 0.2500 0.2500 0.2500
Tl1 0.7500 0.7500 0.7500
Re1 0.5000 0.5000 0.5000



Record 26
Entry from the Alexandria database: a relaxed structure of AlTlRe3 (PBE).

Calculated values
crystal system: cubic
M_tot: 3.66 μB per cell
relative energy among the computed polymorphs: 32.621 kcal/mol of atoms
energy relative to the elements: 312 kJ per mole of atoms

Lattice parameters (Å, degrees): 4.9206 4.9206 4.9206 90.00 90.00 90.00
Atoms (fractional coordinates):
Al1 0.0000 0.0000 0.0000
Tl1 0.5000 0.5000 0.5000
Re1 0.0000 0.5000 0.5000
Re2 0.5000 0.0000 0.5000
Re3 0.5000 0.5000 0.0000



Record 27
Entry from the Alexandria database: a relaxed structure of AlTlRe2 (PBE).

Calculated values
crystal system: monoclinic
M_tot: 0.00 μB per cell
relative energy among the computed polymorphs: 10.054 kcal/mol of atoms
energy relative to the elements: 62 kJ per mole of atoms

Lattice parameters (Å, degrees): 2.9831 4.4737 5.3316 90.00 91.18 90.00
Atoms (fractional coordinates):
Al1 0.0000 0.0000 0.0000
Tl1 0.5000 0.0000 0.5000
Re1 0.3065 0.5000 0.7994
Re2 0.6935 0.5000 0.2006



Record 28
Entry from the Alexandria database: a relaxed structure of AlTl2Re (PBE).

Calculated values
crystal system: trigonal
M_tot: 0.43 μB per cell
relative energy among the computed polymorphs: 8.884 kcal/mol of atoms
energy relative to the elements: 81 kJ per mole of atoms

Lattice parameters (Å, degrees): 10.8274 10.8274 10.8274 16.11 16.11 16.11
Atoms (fractional coordinates):
Al1 0.0000 0.0000 0.0000
Tl1 0.2439 0.2439 0.2439
Tl2 0.7561 0.7561 0.7561
Re1 0.5000 0.5000 0.5000



Record 29
Entry from the Alexandria database: a relaxed structure of AlTlRe2 (PBE).

Calculated values
crystal system: orthorhombic
M_tot: 0.00 μB per cell
relative energy among the computed polymorphs: 14.591 kcal/mol of atoms
energy relative to the elements: 81 kJ per mole of atoms

Lattice parameters (Å, degrees): 4.9602 4.9602 2.9696 90.00 90.00 113.36
Atoms (fractional coordinates):
Al1 0.0000 0.0000 0.0000
Tl1 0.5000 0.5000 0.0000
Re1 0.0000 0.5000 0.5000
Re2 0.5000 0.0000 0.5000



Record 30
Entry from the Alexandria database: a relaxed structure of AlTlRe2 (PBE).

Calculated values
crystal system: trigonal
M_tot: 0.00 μB per cell
relative energy among the computed polymorphs: 2.167 kcal/mol of atoms
energy relative to the elements: 29 kJ per mole of atoms

Lattice parameters (Å, degrees): 9.3986 9.3986 9.3986 17.97 17.97 17.97
Atoms (fractional coordinates):
Al1 0.0000 0.0000 0.0000
Tl1 0.2411 0.2411 0.2411
Re1 0.4822 0.4822 0.4822
Re2 0.7425 0.7425 0.7425